U4Ge6Mo7 | GGA-PBE | optimized geometry

Structure (CIF):
```
data_U4Ge6Mo7
_cell_length_a 8.470
_cell_length_b 8.470
_cell_length_c 8.470
_cell_angle_alpha 90.00
_cell_angle_beta 90.00
_cell_angle_gamma 90.00
_symmetry_space_group_name_H-M 'I m -3 m'
_symmetry_Int_Tables_number 229
_symmetry_space_group_name_Hall '-I 4 2 3'
loop_
_atom_site_label
_atom_site_fract_x
_atom_site_fract_y
_atom_site_fract_z
U1 0.250 0.250 0.250
Ge1 0.000 0.000 0.305
Mo1 0.000 0.000 0.000
Mo2 0.000 0.250 0.500
```

Results
Formation energy from the elements (eV/atom): -0.19
Raw total energy (eV for the cell shown): -303.86